Below is a geometry-optimized Er2ZrSn structure, with properties calculated at the PBE level.

The structure in extended XYZ format:
```
4
Lattice="-0.4362 -4.5816 -0.6383 1.5799 0.4566 -4.3570 4.3590 -0.6261 1.5150" Properties=species:S:1:pos:R:3 pbc="T T T"
Sn -0.2181 -2.2908 -0.3192
Zr 2.7513 -2.3755 -1.7402
Er 2.1795 -0.3130 0.7575
Er 0.7899 0.2283 -2.1785
```

Values from the calculation:
Symmetry: No. 123
Energy of formation, eV/atom: -0.33

Below is a geometry-optimized TbNiS2 structure, with properties calculated at the PBE level.

The structure in extended XYZ format:
```
4
Lattice="3.5075 0.0000 0.0000 1.7538 3.0376 0.0000 1.7538 1.0125 7.6917" Properties=species:S:1:pos:R:3 pbc="T T T"
Ni 3.5075 2.0251 3.8459
S 1.7538 1.0125 5.0112
S 5.2613 3.0376 2.6805
Tb 0.0000 0.0000 0.0000
```

Values from the calculation:
Symmetry: No. 166
Raw formation energy, eV per formula unit: -1.69

Below is a geometry-optimized ZnSn2Pt9 structure, with properties calculated at the PBE level.

The structure in extended XYZ format:
```
12
Lattice="-3.3884 -1.5091 -1.5540 0.9393 -3.6233 1.4707 -5.8357 2.6194 10.1804" Properties=species:S:1:pos:R:3 pbc="T T T"
Zn 0.0000 0.0000 0.0000
Sn -1.9037 0.8545 3.3210
Sn -3.9320 1.7649 6.8594
Pt -1.2245 -2.5662 -0.0416
Pt -3.1567 -1.6989 3.3291
Pt -5.1280 -0.8141 6.7680
Pt -2.6189 -0.3395 0.8362
Pt -4.6120 0.5551 4.3132
Pt -6.6051 1.4498 7.7903
Pt -0.4551 -1.3966 2.3485
Pt -2.4482 -0.5019 5.8256
Pt -4.4413 0.3927 9.3026
```

Values from the calculation:
Symmetry: No. 123
Energy of formation, eV/atom: -0.38

Below is a geometry-optimized NaY2Au2 structure, with properties calculated at the PBE level.

The structure in extended XYZ format:
```
10
Lattice="8.5280 0.0000 0.0000 0.0000 8.5280 0.0000 0.0000 0.0000 3.4688" Properties=species:S:1:pos:R:3 pbc="T T T"
Y 3.0133 7.2773 0.0000
Y 7.2773 5.5148 0.0000
Y 5.5148 1.2507 0.0000
Y 1.2507 3.0133 0.0000
Na 0.0000 0.0000 0.0000
Na 4.2640 4.2640 0.0000
Au 1.2494 5.5134 1.7344
Au 5.5134 7.2786 1.7344
Au 7.2786 3.0146 1.7344
Au 3.0146 1.2494 1.7344
```

Values from the calculation:
Symmetry: No. 127
Energy of formation, eV/atom: -0.51

Below is a geometry-optimized TbCe2ZnN structure, with properties calculated at the PBE level.

The structure in extended XYZ format:
```
5
Lattice="-2.2262 -2.5368 -3.4610 -2.3928 -2.5028 3.3736 -3.5628 3.2670 -0.1030" Properties=species:S:1:pos:R:3 pbc="T T T"
Tb -4.1740 -0.8694 3.3221
Ce -4.7587 2.0153 1.5838
Ce -7.0681 -0.5045 1.5401
Zn -4.0920 -0.8855 -0.0951
N -3.5628 3.2670 -0.1029
```

Values from the calculation:
Symmetry: No. 123
Raw formation energy, eV per formula unit: -3.27

Below is a geometry-optimized Rb2SrSbO4 structure, with properties calculated at the PBE level.

The structure in extended XYZ format:
```
8
Lattice="-0.9723 -0.4000 -6.4296 -3.5135 -3.4912 4.2322 -1.7659 5.2539 3.4239" Properties=species:S:1:pos:R:3 pbc="T T T"
Rb -3.5627 -1.5049 0.8153
Rb 0.0000 0.0000 0.0000
Sr -2.6889 2.8676 0.4112
Sb -2.6397 0.8813 3.8280
O -2.8090 0.7745 -0.7903
O -1.9418 2.3414 2.6481
O -3.1144 -1.3779 -3.1553
O -4.6382 0.9873 3.7506
```

Values from the calculation:
Symmetry: No. 82
Raw formation energy, eV per formula unit: -13.70

Below is a geometry-optimized Zn2Ni12Sn5 structure, with properties calculated at the PBE level.

The structure in extended XYZ format:
```
19
Lattice="6.5855 0.0000 0.0000 -3.2927 6.4453 1.1816 0.0000 -0.8937 6.1508" Properties=species:S:1:pos:R:3 pbc="T T T"
Zn 4.8775 0.0000 0.0000
Zn 1.7080 0.0000 0.0000
Ni 3.2927 4.7003 1.4983
Ni -2.0335 3.7745 5.4754
Ni 2.0335 3.7745 5.4754
Ni -1.3188 4.7534 3.1666
Ni 1.3188 4.7534 3.1666
Ni 0.0000 5.1780 5.2756
Ni 3.2927 0.3736 2.0568
Ni 4.6115 0.7982 4.1658
Ni 1.9739 0.7982 4.1658
Ni 5.3263 1.7771 1.8570
Ni 1.2592 1.7771 1.8570
Ni 0.0000 0.8513 5.8340
Sn 0.0000 2.6723 4.0536
Sn 0.0000 4.0175 1.0186
Sn 0.0000 -0.4469 3.0754
Sn 3.2927 1.5341 6.3138
Sn 3.2927 2.8793 3.2788
```

Values from the calculation:
Symmetry: No. 12
Energy of formation, eV/atom: -0.07

Below is a geometry-optimized ErGa3Cu4 structure, with properties calculated at the PBE level.

The structure in extended XYZ format:
```
8
Lattice="-0.9423 3.8565 0.7743 -2.0793 0.1875 -3.4643 -6.6158 -2.3878 3.8415" Properties=species:S:1:pos:R:3 pbc="T T T"
Er -3.3079 -1.1939 1.9208
Ga 0.0000 0.0000 0.0000
Ga -3.7937 1.1981 -0.0194
Ga -5.8437 0.4582 1.1709
Cu -1.6304 1.5099 1.0603
Cu -2.1989 -0.3246 -1.0590
Cu -5.9276 -0.0411 3.5555
Cu -6.4962 -1.8756 1.4362
```

Values from the calculation:
Symmetry: No. 123
Energy of formation, eV/atom: -0.20

Below is a geometry-optimized Be4CuNi structure, with properties calculated at the PBE level.

The structure in extended XYZ format:
```
6
Lattice="4.1952 0.0000 0.0000 2.0976 3.6332 0.0000 2.0976 1.2111 3.4254" Properties=species:S:1:pos:R:3 pbc="T T T"
Be 3.1441 3.0290 2.1418
Be 5.2464 3.0290 2.1418
Be 4.1952 1.2083 2.1418
Be 4.1952 2.4221 0.4253
Cu 2.0976 1.2111 0.8563
Ni 0.0000 0.0000 0.0000
```

Values from the calculation:
Symmetry: No. 216
Energy of formation, eV/atom: -0.24

Below is a geometry-optimized Ba2MgV structure, with properties calculated at the PBE level.

The structure in extended XYZ format:
```
8
Lattice="9.3463 0.0000 0.0000 0.0000 9.3463 0.0000 4.6731 4.6731 3.4368" Properties=species:S:1:pos:R:3 pbc="T T T"
Mg 4.6731 4.6731 0.0000
Mg 4.6731 9.3463 1.7184
Ba 7.2359 2.3366 0.8592
Ba 2.1104 7.0097 0.8592
Ba 7.0097 6.7835 2.5776
Ba 11.6829 11.9091 2.5776
V 0.0000 0.0000 0.0000
V 9.3463 4.6731 1.7184
```

Values from the calculation:
Symmetry: No. 122
Energy of formation, eV/atom: 0.74

Below is a geometry-optimized Ac12Ir5Pt2 structure, with properties calculated at the PBE level.

The structure in extended XYZ format:
```
19
Lattice="8.3703 0.0000 0.0000 -4.1852 7.6389 -2.3787 0.0000 0.1238 10.4924" Properties=species:S:1:pos:R:3 pbc="T T T"
Ac 4.1852 6.6002 -0.1981
Ac -2.0074 4.8040 7.4197
Ac 2.0074 4.8040 7.4197
Ac -2.1393 5.7175 3.4462
Ac 2.1393 5.7175 3.4462
Ac 4.1852 0.8314 8.4857
Ac 0.0000 6.9314 -0.3720
Ac 6.3244 2.0452 4.6675
Ac 2.0459 2.0452 4.6675
Ac 6.1925 2.9588 0.6939
Ac 2.1778 2.9588 0.6939
Ac 0.0000 1.1625 8.3117
Ir 0.0000 4.3924 5.0528
Ir 0.0000 3.9996 -1.0396
Ir 0.0000 0.0619 5.2462
Ir 4.1852 3.7631 9.1533
Ir 4.1852 3.3703 3.0608
Pt 6.3743 0.0000 0.0000
Pt 1.9960 0.0000 0.0000
```

Values from the calculation:
Symmetry: No. 12
Energy of formation, eV/atom: -0.63

Below is a geometry-optimized Ba4NaRh2 structure, with properties calculated at the PBE level.

The structure in extended XYZ format:
```
14
Lattice="8.2753 -0.3077 2.6939 -3.8071 7.0735 3.3317 0.1574 -0.3154 8.6890" Properties=species:S:1:pos:R:3 pbc="T T T"
Ba 2.1182 -0.1409 5.8469
Ba -1.3511 4.0918 3.6569
Ba 5.6140 0.8229 4.5897
Ba 2.7931 3.9278 4.9703
Ba 2.3703 1.5439 1.9937
Ba 4.6961 4.7466 9.3264
Ba 5.7283 0.6808 8.9409
Ba 0.1839 3.3711 7.5121
Na 1.3953 4.9245 10.3547
Na -3.8004 7.0617 3.3411
Rh 5.5991 3.1708 11.7882
Rh 0.0204 1.4270 4.2694
Rh 0.0218 5.9981 5.9373
Rh 3.6077 2.3062 7.4340
```

Values from the calculation:
Symmetry: No. 5
Energy of formation, eV/atom: -0.03

Below is a geometry-optimized HfTlBr5 structure, with properties calculated at the PBE level.

The structure in extended XYZ format:
```
14
Lattice="-3.0260 -6.8121 1.7518 1.5220 -1.5510 7.3422 -8.6937 1.5539 5.6103" Properties=species:S:1:pos:R:3 pbc="T T T"
Hf 0.0000 0.0000 0.0000
Hf -4.3468 0.7770 2.8051
Tl -7.3891 -3.1513 8.6111
Tl -2.8086 -3.6579 6.0932
Br -8.4188 -0.9190 6.2415
Br -4.2419 -2.8479 9.4796
Br -3.1316 -0.6081 4.5923
Br -9.1571 -5.1965 6.4378
Br -8.1639 -0.7103 10.6587
Br -2.0337 -6.0989 4.0457
Br -1.0405 -1.6126 8.2665
Br -7.0661 -6.2011 10.1120
Br -5.9557 -3.9613 5.2247
Br -1.7788 -5.8902 8.4628
```

Values from the calculation:
Symmetry: No. 15
Raw formation energy, eV per formula unit: -8.44

Below is a geometry-optimized Li2WAu structure, with properties calculated at the PBE level.

The structure in extended XYZ format:
```
4
Lattice="-2.5214 -0.2319 0.8751 0.5782 -4.8839 0.3714 1.5397 0.5303 4.5767" Properties=species:S:1:pos:R:3 pbc="T T T"
Au 1.0589 -2.1768 2.4740
Li 0.0000 0.0000 0.0000
Li -0.9716 -2.5579 0.6233
W -0.4909 0.1492 2.7259
```

Values from the calculation:
Symmetry: No. 47
Energy of formation, eV/atom: 0.26

Below is a geometry-optimized LiYMo structure, with properties calculated at the PBE level.

The structure in extended XYZ format:
```
3
Lattice="-4.6383 -5.7330 1.5141 -1.2728 -6.3614 3.8192 2.1086 7.1375 -1.1329" Properties=species:S:1:pos:R:3 pbc="T T T"
Li -5.8160 -11.8997 5.2475
Mo -1.9928 -4.0773 1.7980
Y -4.0135 -8.2117 3.6212
```

Values from the calculation:
Symmetry: No. 107
Energy of formation, eV/atom: 0.53

Below is a geometry-optimized SrLi2W structure, with properties calculated at the PBE level.

The structure in extended XYZ format:
```
4
Lattice="-2.7267 -0.3412 0.3970 0.1974 -4.2234 -2.2738 1.1538 -2.8803 5.4500" Properties=species:S:1:pos:R:3 pbc="T T T"
Li 1.1273 -2.8142 5.3249
Li -1.0095 -2.9191 0.2666
Sr 0.5881 -1.4682 2.7780
W -0.3507 -4.5637 3.3785
```

Values from the calculation:
Symmetry: No. 25
Energy of formation, eV/atom: 0.87

Below is a geometry-optimized NiRh2Br structure, with properties calculated at the PBE level.

The structure in extended XYZ format:
```
4
Lattice="2.9967 0.0000 0.0000 0.0000 2.9967 0.0000 0.0000 0.0000 6.8352" Properties=species:S:1:pos:R:3 pbc="T T T"
Br 0.0000 0.0000 3.5198
Ni 1.4984 1.4984 5.2438
Rh 0.0000 0.0000 6.7709
Rh 1.4984 1.4984 1.5536
```

Values from the calculation:
Symmetry: No. 99
Raw formation energy, eV per formula unit: 1.94

Below is a geometry-optimized AcTb2Sm5Tm structure, with properties calculated at the PBE level.

The structure in extended XYZ format:
```
18
Lattice="-6.2030 -6.7818 -0.4092 4.8737 -4.8276 6.1301 -3.1848 8.9896 2.7082" Properties=species:S:1:pos:R:3 pbc="T T T"
Ac -1.9247 1.5925 2.7843
Ac -2.5894 -4.2122 5.6448
Tb 1.1986 -2.6323 2.3340
Tb -3.2501 -4.6887 0.4349
Tb 1.9208 -6.9207 5.2859
Tb -2.5279 -8.9771 3.3869
Sm -4.4745 -6.0565 2.9176
Sm -5.7086 1.3191 2.8039
Sm -0.0397 3.4368 5.5115
Sm -3.0859 5.1843 2.4063
Sm -2.6623 -0.4284 5.9092
Sm -1.4282 -7.8040 6.0228
Sm -1.8518 -2.1914 2.5199
Sm 1.1944 -3.9389 5.6252
Sm -0.6646 -5.8047 2.8604
Sm 0.0000 0.0000 0.0000
Tm 0.5121 -0.8213 5.8494
Tm -5.0262 -1.7984 2.5797
```

Values from the calculation:
Symmetry: No. 140
Energy of formation, eV/atom: 0.28

Below is a geometry-optimized Na2SrHg4 structure, with properties calculated at the PBE level.

The structure in extended XYZ format:
```
14
Lattice="6.4000 -0.0947 -0.7017 -0.1382 5.9041 -2.0576 -0.4069 0.3170 10.4411" Properties=species:S:1:pos:R:3 pbc="T T T"
Na 0.7390 4.7186 2.4002
Na 1.8929 2.4401 5.2891
Na 5.1159 1.4079 5.2815
Na 3.9620 3.6863 2.3926
Sr 4.7673 1.3246 -1.0127
Sr 1.4944 4.4848 -1.7467
Hg 4.9319 4.6292 -0.5719
Hg 4.0646 3.9469 7.0325
Hg 0.9230 1.4972 8.2536
Hg 1.7903 2.1795 0.6492
Hg -0.1405 1.5841 2.9489
Hg 2.7720 5.5873 4.7360
Hg 5.9954 4.5423 4.7328
Hg 3.0829 0.5391 2.9458
```

Values from the calculation:
Symmetry: No. 15
Energy of formation, eV/atom: -0.31

Below is a geometry-optimized Tl2HgTeO6 structure, with properties calculated at the PBE level.

The structure in extended XYZ format:
```
10
Lattice="-4.8527 3.1599 -1.8070 -5.3598 -2.5873 -1.8838 -4.8547 -0.3961 3.8625" Properties=species:S:1:pos:R:3 pbc="T T T"
Tl -7.4585 0.3235 -0.5539
Tl -4.7835 -0.4186 3.6665
Hg -11.2783 0.3020 -0.7968
Te -3.4189 0.0183 -1.0661
O -5.4847 1.4670 -0.4482
O -7.1589 -1.6330 -1.3348
O -8.7822 1.4077 -2.0174
O -9.1520 -1.0580 1.1808
O -7.9449 1.3588 1.3542
O -6.4921 -1.0851 2.1817
```

Values from the calculation:
Symmetry: No. 1
Raw formation energy, eV per formula unit: -6.49